1.
A geometry-optimized Na2CaMg structure. Source: Alexandria via LeMat-Bulk, functional PBE-GGA.

Values from the calculation:
The value obtained for the calculated total energy is -1.3556 eV/atom. The calculated density comes out at 1.26 Mg/m³. For the formation energy from the elements, the calculation gives 203.0 meV/atom.

Cell: 3.5908 3.5908 38.9645 Å, 90.00 90.00 120.00°
Space group R-3m (No. 166, hexagonal axes)
Symmetry-distinct sites (fractional):
Na 0.0000 0.0000 0.0836 [6 per cell]
Ca 0.0000 0.0000 0.5000 [3 per cell]
Mg 0.0000 0.0000 0.0000 [3 per cell]

2.
A geometry-optimized CePrBN3 structure. Source: Alexandria via LeMat-Bulk, functional PBE-GGA.

Values from the calculation:
The value obtained for the calculated total energy is -8.1313 eV/atom. The calculated density comes out at 6.26 Mg/m³.

Cell: 5.5407 5.5407 6.6637 Å, 90.00 90.00 120.00°
Space group P6_3/mmc (No. 194)
Symmetry-distinct sites (fractional):
Ce 0.0000 0.0000 0.0000 [2 per cell]
Pr 0.3333 0.6667 0.2500 [2 per cell]
B 0.3333 0.6667 0.7500 [2 per cell]
N 0.1807 0.3614 0.7500 [6 per cell]

3.
A geometry-optimized Ca2LaPaO6 structure. Source: Alexandria via LeMat-Bulk, functional PBE-GGA.

Values from the calculation:
The value obtained for the calculated total energy is -8.1829 eV/atom. The calculated density comes out at 5.67 Mg/m³.

Cell: 5.9795 5.9795 15.5048 Å, 90.00 90.00 120.00°
Space group R3 (No. 146, hexagonal axes)
Symmetry-distinct sites (fractional):
Ca 0.0000 0.0000 0.0000 [3 per cell]
Ca 0.0000 0.0000 0.4935 [3 per cell]
La 0.0000 0.0000 0.2183 [3 per cell]
Pa 0.0000 0.0000 0.7085 [3 per cell]
O 0.0422 0.3457 0.7737 [9 per cell]
O 0.0558 0.6692 0.2812 [9 per cell]

4.
A geometry-optimized BeTc2As structure. Source: Alexandria via LeMat-Bulk, functional PBE-GGA.

Values from the calculation:
The value obtained for the calculated total energy is -7.3025 eV/atom. The calculation puts the energy above the most stable polymorph in this dataset at 139 meV per atom. The calculated density comes out at 8.80 Mg/m³. For the formation energy from the elements, the calculation gives -25.5 meV/atom.

Cell: 8.597 3.007 4.274 Å, 90.00 106.92 90.00°
Space group Cm (No. 8)
Symmetry-distinct sites (fractional):
Be 0.000 0.000 0.000 [2 per cell]
Tc 0.260 0.000 0.855 [2 per cell]
Tc 0.494 0.000 0.504 [2 per cell]
As 0.240 0.500 0.308 [2 per cell]

5.
A geometry-optimized Nd3Ge3Ir2 structure. Source: Alexandria via LeMat-Bulk, functional PBE-GGA.

Values from the calculation:
The value obtained for the calculated total energy is -6.5728 eV/atom. The calculation puts the energy above the most stable polymorph in this dataset at 0 meV per atom. The calculated density comes out at 9.75 Mg/m³. For the formation energy from the elements, the calculation gives -838.1 meV/atom.

Cell: 4.388 10.938 14.694 Å, 90.00 90.00 90.00°
Space group Cmcm (No. 63)
Symmetry-distinct sites (fractional):
Nd 0.000 0.082 0.110 [8 per cell]
Nd 0.000 0.358 0.250 [4 per cell]
Ge 0.000 0.339 0.750 [4 per cell]
Ge 0.000 0.367 0.035 [8 per cell]
Ir 0.000 0.202 0.602 [8 per cell]

6.
A geometry-optimized Cu2OF2 structure. Source: Alexandria via LeMat-Bulk, functional PBE-GGA.

Values from the calculation:
The value obtained for the calculated total energy is -4.2973 eV/atom. The calculation puts the energy above the most stable polymorph in this dataset at 190 meV per atom. The calculated density comes out at 5.27 Mg/m³.

Cell: 5.531 5.531 3.731 Å, 90.00 90.00 90.00°
Space group P4/mbm (No. 127)
Symmetry-distinct sites (fractional):
Cu 0.227 0.273 0.000 [4 per cell]
O 0.000 0.000 0.000 [2 per cell]
F 0.182 0.318 0.500 [4 per cell]

7.
A geometry-optimized BeCd2O3 structure. Source: Alexandria via LeMat-Bulk, functional PBE-GGA.

Values from the calculation:
The value obtained for the calculated total energy is -4.9510 eV/atom. The calculated density comes out at 6.21 Mg/m³.

Cell: 10.187 5.852 5.058 Å, 90.00 90.00 90.00°
Space group Cmc2_1 (No. 36)
Symmetry-distinct sites (fractional):
Be 0.000 0.150 0.000 [4 per cell]
Cd 0.156 0.316 0.480 [8 per cell]
O 0.000 0.088 0.323 [4 per cell]
O 0.136 0.304 0.932 [8 per cell]

8.
A geometry-optimized BiSb2SeI structure. Source: Alexandria via LeMat-Bulk, functional PBE-GGA.

Values from the calculation:
The value obtained for the calculated total energy is -2.8622 eV/atom. The calculation puts the energy above the most stable polymorph in this dataset at 0 meV per atom. The calculated density comes out at 6.44 Mg/m³.

Cell: 5.499 5.499 5.611 Å, 90.00 90.00 90.00°
Space group P4/mmm (No. 123)
Symmetry-distinct sites (fractional):
Bi 0.000 0.000 0.000 [1 per cell]
Sb 0.000 0.500 0.500 [2 per cell]
Se 0.500 0.500 0.500 [1 per cell]
I 0.500 0.500 0.000 [1 per cell]

9.
A geometry-optimized Zr2CoRe structure. Source: Alexandria via LeMat-Bulk, functional PBE-GGA.

Values from the calculation:
The value obtained for the calculated total energy is -9.2261 eV/atom. The calculated density comes out at 10.15 Mg/m³. For the formation energy from the elements, the calculation gives -63.5 meV/atom.

Cell: 3.278 4.556 9.366 Å, 90.00 90.00 90.00°
Space group Imm2 (No. 44)
Symmetry-distinct sites (fractional):
Zr 0.000 0.000 0.000 [2 per cell]
Zr 0.000 0.500 0.228 [2 per cell]
Co 0.000 0.500 0.754 [2 per cell]
Re 0.000 0.000 0.475 [2 per cell]